! meta-GGA SCAN ZrTa2Cl, single point on PBEsol structure; values from VASP
! V: 73 Å³ per cell
! Final energy: -42.681 eV/atom
! Space-group type: No. 47
! Crystal system: orthorhombic
! Raw formation energy: 0.2798 eV/atom
&SYSTEM
  ibrav = 0, nat = 4, ntyp = 3
/
ATOMIC_SPECIES
Cl 35.45 Cl.upf
Zr 91.22 Zr.upf
Ta 180.95 Ta.upf
CELL_PARAMETERS angstrom
-0.712 -1.086 -2.909
-3.782 -1.608 1.526
-2.366 4.515 -1.106
ATOMIC_POSITIONS crystal
Cl 0.000 0.500 0.500
Zr 0.500 0.000 0.500
Ta 0.000 0.000 0.000
Ta 0.500 0.500 0.000



! meta-GGA SCAN La2TaSi, single point on PBEsol structure; values from VASP
! V: 109 Å³ per cell
! Final energy: -40.671 eV/atom
! Space-group type: No. 12
! Crystal system: monoclinic
! Raw formation energy: 0.0309 eV/atom
&SYSTEM
  ibrav = 0, nat = 4, ntyp = 3
/
ATOMIC_SPECIES
La 138.91 La.upf
Si 28.09 Si.upf
Ta 180.95 Ta.upf
CELL_PARAMETERS angstrom
3.487 0.000 0.000
0.000 3.696 -0.038
-1.744 -1.724 8.511
ATOMIC_POSITIONS crystal
La 0.655 0.654 0.310
La 0.345 0.346 0.690
Si 0.000 0.500 0.000
Ta 0.500 0.000 0.000



! meta-GGA SCAN K2CrPCO7, single point on PBEsol structure; values from VASP
! V: 345 Å³ per cell
! Final energy: -10.521 eV/atom
! Space-group type: No. 11
! Crystal system: monoclinic
! Raw formation energy: -2.2574 eV/atom
&SYSTEM
  ibrav = 0, nat = 24, ntyp = 5
/
ATOMIC_SPECIES
K 39.10 K.upf
Cr 52.00 Cr.upf
P 30.97 P.upf
C 12.01 C.upf
O 16.00 O.upf
CELL_PARAMETERS angstrom
-4.432 -2.259 2.318
2.231 -5.972 -1.554
4.782 -0.377 8.310
ATOMIC_POSITIONS crystal
K 0.250 0.474 0.255
K 0.250 0.026 0.255
K 0.750 0.526 0.745
K 0.750 0.974 0.745
Cr 0.776 0.750 0.143
Cr 0.224 0.250 0.857
P 0.725 0.250 0.067
P 0.275 0.750 0.933
C 0.737 0.750 0.394
C 0.263 0.250 0.606
O 0.287 0.250 0.477
O 0.945 0.750 0.329
O 0.553 0.750 0.303
O 0.774 0.058 0.158
O 0.774 0.442 0.158
O 0.107 0.750 0.061
O 0.451 0.250 0.019
O 0.549 0.750 0.981
O 0.893 0.250 0.939
O 0.226 0.558 0.842
O 0.226 0.942 0.842
O 0.447 0.250 0.697
O 0.055 0.250 0.671
O 0.713 0.750 0.523